1.
Computed, not measured: crystalline Ho11Cd9Au4 at its relaxed geometry at the PBE-GGA level of DFT.

a = 13.245 Å, b = 13.245 Å, c = 3.676 Å
α = 90.00°, β = 90.00°, γ = 112.48°
Positions (direct):
Ho: 0.000 0.000 0.000
Ho: 0.071 0.414 0.000
Ho: 0.163 0.837 0.000
Ho: 0.296 0.296 0.000
Ho: 0.365 0.635 0.000
Ho: 0.414 0.071 0.000
Ho: 0.586 0.929 0.000
Ho: 0.635 0.365 0.000
Ho: 0.704 0.704 0.000
Ho: 0.837 0.163 0.000
Ho: 0.929 0.586 0.000
Cd: 0.065 0.211 0.500
Cd: 0.153 0.635 0.500
Cd: 0.211 0.065 0.500
Cd: 0.365 0.847 0.500
Cd: 0.500 0.500 0.500
Cd: 0.635 0.153 0.500
Cd: 0.789 0.935 0.500
Cd: 0.847 0.365 0.500
Cd: 0.935 0.789 0.500
Au: 0.252 0.450 0.500
Au: 0.450 0.252 0.500
Au: 0.550 0.748 0.500
Au: 0.748 0.550 0.500

Final energy (eV per atom): -3.505
E_form (eV per atom): -0.5174

2.
Computed, not measured: crystalline HoCd3Au4 at its relaxed geometry at the PBE-GGA level of DFT.

a = 9.674 Å, b = 6.986 Å, c = 4.839 Å
α = 90.00°, β = 90.00°, γ = 90.00°
Positions (direct):
Ho: 0.000 0.000 0.000
Ho: 0.500 0.000 0.000
Cd: 0.000 0.500 0.000
Cd: 0.250 0.000 0.494
Cd: 0.250 0.500 0.493
Cd: 0.500 0.500 0.000
Cd: 0.750 0.000 0.506
Cd: 0.750 0.500 0.507
Au: 0.000 0.255 0.500
Au: 0.000 0.745 0.500
Au: 0.250 0.255 0.992
Au: 0.250 0.745 0.992
Au: 0.500 0.255 0.500
Au: 0.500 0.745 0.500
Au: 0.750 0.255 0.008
Au: 0.750 0.745 0.008

Final energy (eV per atom): -2.962
E_form (eV per atom): -0.4075

3.
Computed, not measured: crystalline HoCd3Au3 at its relaxed geometry at the PBE-GGA level of DFT.

a = 8.436 Å, b = 8.436 Å, c = 8.436 Å
α = 90.00°, β = 90.00°, γ = 90.00°
Positions (direct):
Ho: 0.054 0.446 0.554
Ho: 0.446 0.554 0.054
Ho: 0.554 0.054 0.446
Ho: 0.946 0.946 0.946
Cd: 0.125 0.625 0.875
Cd: 0.169 0.169 0.169
Cd: 0.189 0.811 0.311
Cd: 0.311 0.189 0.811
Cd: 0.331 0.831 0.669
Cd: 0.375 0.375 0.375
Cd: 0.625 0.875 0.125
Cd: 0.669 0.331 0.831
Cd: 0.689 0.689 0.689
Cd: 0.811 0.311 0.189
Cd: 0.831 0.669 0.331
Cd: 0.875 0.125 0.625
Au: 0.005 0.301 0.893
Au: 0.107 0.505 0.199
Au: 0.199 0.107 0.505
Au: 0.301 0.893 0.005
Au: 0.393 0.495 0.699
Au: 0.495 0.699 0.393
Au: 0.505 0.199 0.107
Au: 0.607 0.995 0.801
Au: 0.699 0.393 0.495
Au: 0.801 0.607 0.995
Au: 0.893 0.005 0.301
Au: 0.995 0.801 0.607

Final energy (eV per atom): -2.835
Excess energy over the best structure of this formula in the dataset (meV/atom): 0
E_form (eV per atom): -0.3840

4.
Computed, not measured: crystalline Ho5CdAu4 at its relaxed geometry at the PBE-GGA level of DFT.

a = 3.597 Å, b = 3.597 Å, c = 18.179 Å
α = 90.00°, β = 90.00°, γ = 90.00°
Positions (direct):
Ho: 0.000 0.000 0.000
Ho: 0.000 0.000 0.197
Ho: 0.000 0.000 0.392
Ho: 0.000 0.000 0.608
Ho: 0.000 0.000 0.803
Cd: 0.500 0.500 0.500
Au: 0.500 0.500 0.099
Au: 0.500 0.500 0.298
Au: 0.500 0.500 0.702
Au: 0.500 0.500 0.901

Final energy (eV per atom): -4.454
E_form (eV per atom): -0.7624

5.
Computed, not measured: crystalline HoCdAu at its relaxed geometry at the PBE-GGA level of DFT.

a = 7.820 Å, b = 7.820 Å, c = 3.862 Å
α = 90.00°, β = 90.00°, γ = 120.00°
Positions (direct):
Ho: 0.000 0.599 0.000
Ho: 0.401 0.401 0.000
Ho: 0.599 0.000 0.000
Cd: 0.000 0.264 0.500
Cd: 0.264 0.000 0.500
Cd: 0.736 0.736 0.500
Au: 0.000 0.000 0.000
Au: 0.333 0.667 0.500
Au: 0.667 0.333 0.500

Final energy (eV per atom): -3.580
E_form (eV per atom): -0.6569

6.
Computed, not measured: crystalline HoCdAu2 at its relaxed geometry at the PBE-GGA level of DFT.

a = 4.709 Å, b = 4.709 Å, c = 3.891 Å
α = 90.00°, β = 90.00°, γ = 90.00°
Positions (direct):
Ho: 0.000 0.000 0.000
Cd: 0.500 0.500 0.000
Au: 0.000 0.500 0.500
Au: 0.500 0.000 0.500

Final energy (eV per atom): -3.553
E_form (eV per atom): -0.5415

7.
Computed, not measured: crystalline HoCdAu2 at its relaxed geometry at the PBE-GGA level of DFT.

a = 7.247 Å, b = 7.247 Å, c = 7.247 Å
α = 32.71°, β = 32.71°, γ = 32.71°
Positions (direct):
Ho: 0.000 0.000 0.000
Cd: 0.830 0.830 0.830
Au: 0.417 0.417 0.417
Au: 0.581 0.581 0.581

Final energy (eV per atom): -3.485
E_form (eV per atom): -0.4734

8.
Computed, not measured: crystalline HoCd11Au at its relaxed geometry at the PBE-GGA level of DFT.

a = 7.631 Å, b = 7.631 Å, c = 7.600 Å
α = 98.55°, β = 98.55°, γ = 134.70°
Positions (direct):
Ho: 0.000 0.000 0.000
Cd: 0.000 0.500 0.000
Cd: 0.002 0.656 0.648
Cd: 0.284 0.494 0.787
Cd: 0.344 0.998 0.352
Cd: 0.494 0.284 0.787
Cd: 0.500 0.000 0.000
Cd: 0.500 0.500 0.500
Cd: 0.506 0.716 0.213
Cd: 0.656 0.002 0.648
Cd: 0.716 0.506 0.213
Cd: 0.998 0.344 0.352
Au: 0.000 0.000 0.500

Final energy (eV per atom): -1.478
E_form (eV per atom): -0.0997

9.
Computed, not measured: crystalline Ho5Cd4Au at its relaxed geometry at the PBE-GGA level of DFT.

a = 3.690 Å, b = 3.690 Å, c = 18.547 Å
α = 90.00°, β = 90.00°, γ = 90.00°
Positions (direct):
Ho: 0.000 0.000 0.000
Ho: 0.000 0.000 0.204
Ho: 0.000 0.000 0.408
Ho: 0.000 0.000 0.592
Ho: 0.000 0.000 0.796
Cd: 0.500 0.500 0.102
Cd: 0.500 0.500 0.303
Cd: 0.500 0.500 0.697
Cd: 0.500 0.500 0.898
Au: 0.500 0.500 0.500

Final energy (eV per atom): -3.411
E_form (eV per atom): -0.4285

10.
Computed, not measured: crystalline Ho5Cd2Au2 at its relaxed geometry at the PBE-GGA level of DFT.

a = 9.336 Å, b = 9.336 Å, c = 7.394 Å
α = 90.00°, β = 90.00°, γ = 47.52°
Positions (direct):
Ho: 0.000 0.000 0.000
Ho: 0.049 0.690 0.673
Ho: 0.190 0.549 0.173
Ho: 0.310 0.951 0.673
Ho: 0.451 0.810 0.173
Ho: 0.500 0.500 0.500
Ho: 0.549 0.190 0.827
Ho: 0.690 0.049 0.327
Ho: 0.810 0.451 0.827
Ho: 0.951 0.310 0.327
Cd: 0.222 0.222 0.000
Cd: 0.278 0.278 0.500
Cd: 0.722 0.722 0.500
Cd: 0.778 0.778 0.000
Au: 0.135 0.865 0.368
Au: 0.365 0.635 0.868
Au: 0.635 0.365 0.132
Au: 0.865 0.135 0.632

Final energy (eV per atom): -3.937
E_form (eV per atom): -0.4623

11.
Computed, not measured: crystalline Ho2CdAu at its relaxed geometry at the PBE-GGA level of DFT.

a = 5.162 Å, b = 5.162 Å, c = 5.162 Å
α = 60.00°, β = 60.00°, γ = 60.00°
Positions (direct):
Ho: 0.250 0.250 0.250
Ho: 0.750 0.750 0.750
Cd: 0.000 0.000 0.000
Au: 0.500 0.500 0.500

Final energy (eV per atom): -3.903
Excess energy over the best structure of this formula in the dataset (meV/atom): 30
E_form (eV per atom): -0.5656

12.
Computed, not measured: crystalline Ho4Cd2Au at its relaxed geometry at the PBE-GGA level of DFT.

a = 8.876 Å, b = 8.876 Å, c = 8.876 Å
α = 33.74°, β = 33.74°, γ = 33.74°
Positions (direct):
Ho: 0.124 0.124 0.124
Ho: 0.375 0.375 0.375
Ho: 0.625 0.625 0.625
Ho: 0.876 0.876 0.876
Cd: 0.247 0.247 0.247
Cd: 0.753 0.753 0.753
Au: 0.000 0.000 0.000

Final energy (eV per atom): -3.625
E_form (eV per atom): -0.2793